K2Ni3RhF12 | PBE+U | optimized geometry

Cell lengths 7.2223, 7.2223, 18.4193 Å; angles 90.00, 90.00, 120.00 degrees
Space group R-3m (No. 166, hexagonal axes)
Inequivalent atoms, fractional coordinates:
K (0.0000, 0.0000, 0.1016) [6 per cell]
Ni (0.0000, 0.5000, 0.0000) [9 per cell]
Rh (0.0000, 0.0000, 0.5000) [3 per cell]
F (0.0632, 0.5316, 0.3575) [18 per cell]
F (0.0674, 0.5337, 0.1103) [18 per cell]

Calculated values
* total energy: -4.346 eV/atom
* volume: 15.41 Å³ per atom
* total magnetic moment: 19.71 μB/cell
* DOS at the Fermi energy: 10.520 states/eV/f.u.